Computed, not measured: a geometry-optimized LaTbNdCu structure at the PBE level of DFT.

Space-group type = No. 99
Total moment = 0.0 μB per formula unit
Formation energy from the elements = -0.29 eV/f.u.

Lattice parameters (Å, degrees): 3.6016 3.6016 8.8584 90.00 90.00 90.00
Last column: nearest neighbours and their distance in Å.
Sites, in units of the cell vectors:
Cu: 0.0000 0.0000 0.5831  4 Tb 2.99, 4 Nd 3.13
La: 0.0000 0.0000 0.0642  4 La 3.60, 4 Tb 3.71, 4 Nd 3.76
Tb: 0.5000 0.5000 0.7604  4 Cu 2.99
Nd: 0.5000 0.5000 0.3770  4 Cu 3.13, 1 Tb 3.40